[1]
A geometry-optimized PmYHo3 structure, computed with PBE.

Cell and atoms, written as POSCAR:
```
PmYHo3
1.0
-7.368 -2.899 5.459
-1.728 -3.429 -4.153
4.946 -3.759 1.045
Pm Y Ho
2 2 6
Cartesian
-0.107 -3.752 -0.324
-4.734 -7.706 1.013
-3.557 -2.829 0.349
-1.284 -8.629 0.340
-5.521 -4.741 2.745
-2.065 -5.658 2.064
-0.832 -3.876 -3.772
-2.777 -5.800 -1.375
0.679 -6.716 -2.056
-4.009 -7.582 4.461
```

Computed properties:
Polymorph energy (0 for the lowest one) in eV/atom: 0.000
Energy of formation in kJ per mole of atoms: 0.9
Calculated total energy in eV per atom: -4.9803

***

[2]
A geometry-optimized Pm3Y4Ho5 structure, computed with PBE.

Cell and atoms, written as POSCAR:
```
Pm3Y4Ho5
1.0
5.927 0.000 0.000
2.964 7.521 -2.700
2.964 -0.824 9.155
Ho Pm Y
5 3 4
Cartesian
2.964 3.352 -0.197
2.964 0.215 1.667
5.927 3.349 3.227
8.891 3.346 6.651
8.891 6.483 4.788
2.964 3.349 3.227
5.927 1.766 5.860
5.927 4.932 0.594
5.927 1.624 -0.054
2.964 -0.212 5.586
5.927 5.074 6.508
8.891 6.910 0.869
```

Computed properties:
Polymorph energy (0 for the lowest one) in eV/atom: 0.211
Energy of formation in kJ per mole of atoms: 22.2
Calculated total energy in eV per atom: -5.0199

***

[3]
A geometry-optimized Pm3YHo2 structure, computed with PBE.

Cell and atoms, written as POSCAR:
```
Pm3YHo2
1.0
-0.939 1.901 2.917
3.631 -3.637 3.540
14.707 9.596 -1.519
Pm Y Ho
6 2 4
Cartesian
12.207 4.678 4.224
15.354 9.133 0.106
5.191 3.182 0.714
1.853 2.936 2.029
2.045 -1.273 4.833
15.545 4.924 2.909
10.884 5.552 0.999
6.514 2.308 3.939
7.559 5.315 2.314
9.840 2.545 2.625
4.140 0.182 2.331
13.259 7.678 2.607
```

Computed properties:
Polymorph energy (0 for the lowest one) in eV/atom: 0.000
Energy of formation in kJ per mole of atoms: 0.8
Calculated total energy in eV per atom: -4.9703

***

[4]
A geometry-optimized Pm5Y2Ho4 structure, computed with PBE.

Cell and atoms, written as POSCAR:
```
Pm5Y2Ho4
1.0
6.724 0.000 0.000
3.362 7.931 2.645
3.362 4.699 8.463
Y Pm Ho
2 5 4
Cartesian
6.724 10.414 8.231
6.724 2.216 2.877
3.362 6.315 5.554
5.153 6.414 8.375
8.296 6.216 2.733
8.296 6.414 8.375
5.153 6.216 2.733
10.087 9.159 8.718
3.362 3.471 2.390
6.724 4.580 5.614
6.724 8.050 5.495
```

Computed properties:
Polymorph energy (0 for the lowest one) in eV/atom: 0.000
Energy of formation in kJ per mole of atoms: 16.0
Calculated total energy in eV per atom: -4.8336

***

[5]
A geometry-optimized Pm3Y2Ho6 structure, computed with PBE.

Cell and atoms, written as POSCAR:
```
Pm3Y2Ho6
1.0
5.442 -1.682 2.363
-1.382 7.257 3.042
3.626 5.980 14.849
Ho Pm Y
6 3 2
Cartesian
0.924 4.709 3.942
3.381 3.417 8.163
1.060 5.968 7.269
6.762 6.846 16.312
4.305 8.137 12.090
6.626 5.586 12.985
4.180 6.838 8.752
0.000 0.000 0.000
3.506 4.716 11.502
4.443 9.406 15.431
3.243 2.148 4.823
```

Computed properties:
Polymorph energy (0 for the lowest one) in eV/atom: 0.000
Energy of formation in kJ per mole of atoms: 1.7
Calculated total energy in eV per atom: -4.9500

***

[6]
A geometry-optimized Pm11Y4Ho9 structure, computed with PBE.

Cell and atoms, written as POSCAR:
```
Pm11Y4Ho9
1.0
3.652 0.000 0.000
0.000 14.148 -6.066
0.000 -0.018 15.393
Ho Y Pm
9 4 11
Cartesian
1.826 2.331 8.697
1.826 11.118 9.595
1.826 8.914 -1.275
1.826 3.011 -0.268
1.826 13.192 6.453
1.826 7.065 4.664
1.826 0.937 2.874
1.826 11.799 0.630
1.826 5.216 10.602
1.826 6.278 1.016
1.826 3.402 5.374
1.826 10.728 3.954
1.826 7.851 8.311
0.000 8.936 1.829
0.000 5.720 -1.816
0.000 8.409 11.143
0.000 0.000 0.000
0.000 0.578 5.974
0.000 4.100 2.707
0.000 11.865 -2.608
0.000 5.193 7.499
0.000 13.551 3.353
0.000 2.264 11.935
0.000 10.029 6.621
```

Computed properties:
Energy of formation in kJ per mole of atoms: 6.0
Calculated total energy in eV per atom: -4.9094

***

[7]
A geometry-optimized Pm6YHo structure, computed with PBE.

Cell and atoms, written as POSCAR:
```
Pm6YHo
1.0
6.437 -0.193 2.397
0.455 6.554 -0.570
1.051 -0.832 6.891
Pm Ho Y
6 1 1
Cartesian
1.454 4.373 3.057
4.574 4.482 4.551
4.947 3.973 7.785
3.368 1.046 4.167
6.489 1.155 5.661
2.996 1.555 0.933
0.228 3.277 -0.285
0.000 0.000 0.000
```

Computed properties:
Polymorph energy (0 for the lowest one) in eV/atom: 0.163
Energy of formation in kJ per mole of atoms: 17.2
Calculated total energy in eV per atom: -4.7645

***

[8]
A geometry-optimized Pm7YHo12 structure, computed with PBE.

Cell and atoms, written as POSCAR:
```
Pm7YHo12
1.0
-8.067 -2.594 2.259
2.748 -4.579 6.957
-1.227 6.619 5.622
Ho Pm Y
12 7 1
Cartesian
-5.438 -2.208 4.409
-3.834 -4.101 9.010
-5.235 1.070 5.119
-4.076 2.684 8.660
-7.070 1.430 7.789
-1.311 -1.625 9.718
-6.074 -2.030 7.602
-2.712 3.547 5.827
-2.470 -3.238 6.178
-1.108 1.653 10.428
-0.472 1.475 7.236
0.524 -1.985 7.048
-3.196 -0.354 2.299
-3.350 -0.201 12.539
-3.273 -0.277 7.419
-0.249 -1.726 3.548
-6.296 1.171 11.290
-5.873 -2.285 11.348
-0.673 1.730 3.490
0.000 0.000 0.000
```

Computed properties:
Polymorph energy (0 for the lowest one) in eV/atom: 0.000
Energy of formation in kJ per mole of atoms: 22.5
Calculated total energy in eV per atom: -4.4990